CsZnP2Cl PBE-GGA optimized geometry; space-group type = P4/mmm (123); ΔE to the lowest computed polymorph = 0.0 meV/atom; DFT total energy = -14.9 eV per cell
1.0
4.703 0.000 0.000
0.000 4.703 0.000
0.000 0.000 6.639
Cs Zn P Cl
1 1 2 1
Direct
0.000 0.000 0.000 Cs
0.500 0.500 0.500 Zn
0.000 0.500 0.500 P
0.500 0.000 0.500 P
0.500 0.500 0.000 Cl